Compound: MoH2O4
Source: Alexandria via LeMat-Bulk
Functional: PBE+U
Structure: optimized geometry

Geometry as CIF:
```
data_MoH2O4
_symmetry_space_group_name_H-M 'P 1'
_symmetry_Int_Tables_number 1
_symmetry_space_group_name_Hall 'P 1'
_cell_length_a 3.8193
_cell_length_b 6.5465
_cell_length_c 7.5200
_cell_angle_alpha 67.33
_cell_angle_beta 80.82
_cell_angle_gamma 76.24
loop_
_atom_site_label
_atom_site_fract_x
_atom_site_fract_y
_atom_site_fract_z
Mo1 0.0000 0.0000 0.0000
Mo2 0.4925 0.2578 0.5850
H1 0.5123 0.7582 0.6347
H2 0.6984 0.3285 0.1026
H3 0.8208 0.8593 0.4887
H4 0.9225 0.7397 0.8314
O1 0.0056 0.1793 0.6513
O2 0.0477 0.7379 0.9379
O3 0.3816 0.5212 0.6032
O4 0.4751 0.0458 0.9111
O5 0.5509 0.3185 0.3380
O6 0.6750 0.8653 0.6085
O7 0.8078 0.3034 0.9815
O8 0.9978 0.8757 0.2472
```

density of states at the Fermi level: 0.000 states/eV/atom
total magnetization: 0.000 μB/atom
relative energy among the computed polymorphs: 3.6 kJ/mol of atoms
crystal system: triclinic